Record 1
First-principles (PBE-GGA) data for crystalline DyFeSi at its relaxed geometry, as listed in Alexandria via LeMat-Bulk.

Geometry as POSCAR:
```
DyFeSi
1.0
4.030 0.000 0.000
0.000 4.030 0.000
0.000 0.000 6.511
Dy Fe Si
2 2 2
Direct
0.500 0.000 0.685
0.000 0.500 0.315
0.000 0.000 0.000
0.500 0.500 0.000
0.000 0.500 0.821
0.500 0.000 0.179
```

Record 2
First-principles (PBE-GGA) data for crystalline Dy3Fe2Si3 at its relaxed geometry, as listed in Alexandria via LeMat-Bulk.

Geometry as POSCAR:
```
Dy3Fe2Si3
1.0
-5.258 1.033 1.786
2.513 -2.993 -4.078
0.717 -10.725 8.314
Dy Fe Si
6 4 6
Direct
0.581 0.419 0.612
0.419 0.581 0.388
0.419 0.581 0.112
0.581 0.419 0.888
0.135 0.865 0.250
0.865 0.135 0.750
0.285 0.715 0.920
0.715 0.285 0.080
0.715 0.285 0.420
0.285 0.715 0.580
0.874 0.126 0.540
0.126 0.874 0.460
0.126 0.874 0.040
0.874 0.126 0.960
0.823 0.177 0.250
0.177 0.823 0.750
```

Record 3
First-principles (PBE-GGA) data for crystalline DyFe10Si2 at its relaxed geometry, as listed in Alexandria via LeMat-Bulk.

Geometry as POSCAR:
```
DyFe10Si2
1.0
-0.226 0.860 6.272
-5.149 -3.646 -0.569
4.610 -6.679 1.081
Dy Fe Si
2 20 4
Direct
0.875 0.125 0.750
0.125 0.875 0.250
0.386 0.131 0.750
0.614 0.869 0.250
0.869 0.614 0.750
0.131 0.386 0.250
0.519 0.760 0.750
0.481 0.240 0.250
0.240 0.481 0.750
0.760 0.519 0.250
0.841 0.159 0.399
0.159 0.841 0.899
0.841 0.159 0.101
0.159 0.841 0.601
0.607 0.393 0.925
0.393 0.607 0.425
0.607 0.393 0.575
0.393 0.607 0.075
0.771 0.771 0.000
0.229 0.229 0.500
0.229 0.229 0.000
0.771 0.771 0.500
0.500 0.000 0.000
0.500 0.000 0.500
0.000 0.500 0.500
0.000 0.500 0.000
```

Summary:
For the energy above the most stable polymorph in this dataset, the calculation gives 9 meV per atom.

The calculated density results, record by record, are as follows: 7741; 7775; 7931 kg/m3.
The raw formation energy results, record by record, are as follows: -0.639; -0.663; -0.239 eV/atom.